{
  "formula": "Nd3Si4Ir2Au2",
  "functional": "PBE",
  "state": "relaxed",
  "magmom_total_mub_per_cell": 0.02,
  "sg": "Immm, No. 71",
  "energy_ev_per_atom": -6.410,
  "lattice": [[-2.065, 2.109, 12.559], [2.065, -2.109, 12.559], [2.065, 2.109, -12.559]],
  "species": ["Nd", "Nd", "Nd", "Si", "Si", "Si", "Si", "Ir", "Ir", "Au", "Au"],
  "frac_coords": [[0.000, 0.000, 0.000], [0.351, 0.851, 0.500], [0.649, 0.149, 0.500], [0.199, 0.699, 0.500], [0.453, 0.453, 0.000], [0.547, 0.547, 0.000], [0.801, 0.301, 0.500], [0.250, 0.250, 0.000], [0.750, 0.750, 0.000], [0.099, 0.599, 0.500], [0.901, 0.401, 0.500]]
}